A plane-wave DFT calculation with PBE was carried out for BaSrSb2 after structural relaxation.

Results
- theoretical density (g/cm3) = 5.4
- space-group type = Fm-3m (225)
- formation energy from raw total energies (eV per atom) = -0.792
- DFT total energy (eV/atom) = -3.754

a b c (Å): 5.8890 5.8890 5.8890
angles (deg): 60.00 60.00 60.00
Closest atoms and distances in Å follow each position.
Element x y z (fractional)
Ba  0.0000  0.0000  0.0000  8 Sb 3.61
Sr  0.5000  0.5000  0.5000  8 Sb 3.61
Sb  0.2500  0.2500  0.2500  4 Ba 3.61, 4 Sr 3.61
Sb  0.7500  0.7500  0.7500  4 Sr 3.61, 4 Ba 3.61